Here is a geometry-optimized NaSiIr3 structure from OQMD. Energies are from GGA-PBE.

Values from the calculation:
For the final energy, the calculation gives -6.719 eV/atom. As for the space group: P6/mmm (191). For the volume, the calculation gives 164.4 Å³/cell.

Unit cell a=5.602 b=5.602 c=6.048 alpha=90.00 beta=90.00 gamma=120.00
Element x y z (fractional)
Ir (0.500, 0.000, 0.786)
Ir (0.500, 0.500, 0.214)
Ir (0.000, 0.500, 0.214)
Ir (0.000, 0.500, 0.786)
Ir (0.500, 0.000, 0.214)
Ir (0.500, 0.500, 0.786)
Si (0.333, 0.667, 0.500)
Si (0.667, 0.333, 0.500)
Na (0.000, 0.000, 0.500)
Na (0.000, 0.000, 0.000)

***

Here is a geometry-optimized BeNiSnPd structure from OQMD. Energies are from GGA-PBE.

Values from the calculation:
As for the space group: F-43m (216). For the offset from the most stable computed form, the calculation gives 98 meV/atom. For the volume, the calculation gives 55.6 Å³/cell.

Unit cell a=4.283 b=4.283 c=4.283 alpha=60.00 beta=60.00 gamma=60.00
Element x y z (fractional)
Sn (0.000, 0.000, 0.000)
Be (0.250, 0.250, 0.250)
Ni (0.750, 0.750, 0.750)
Pd (0.500, 0.500, 0.500)

***

Here is a geometry-optimized Cs2TlAu7 structure from OQMD. Energies are from GGA-PBE.

Values from the calculation:
For the final energy, the calculation gives -2.858 eV/atom. As for the space group: Cmmm (65). For the volume, the calculation gives 285.3 Å³/cell.

Unit cell a=7.360 b=7.360 c=7.483 alpha=90.00 beta=90.00 gamma=135.26
Element x y z (fractional)
Tl (0.000, 0.000, 0.000)
Au (0.500, 0.000, 0.000)
Au (0.604, 0.396, 0.191)
Au (0.500, 0.500, 0.500)
Au (0.396, 0.604, 0.191)
Au (0.396, 0.604, 0.809)
Au (0.000, 0.500, 0.000)
Au (0.604, 0.396, 0.809)
Cs (0.842, 0.158, 0.500)
Cs (0.158, 0.842, 0.500)

***

Here is a geometry-optimized SmDyPO structure from OQMD. Energies are from GGA-PBE.

Values from the calculation:
As for the space group: P4/nmm (129). For the offset from the most stable computed form, the calculation gives 166 meV/atom. For the volume, the calculation gives 163.3 Å³/cell.

Unit cell a=4.318 b=4.318 c=8.756 alpha=90.00 beta=90.00 gamma=90.00
Element x y z (fractional)
O (0.500, 0.500, 0.000)
O (0.000, 0.000, 0.000)
Dy (0.500, 0.000, 0.901)
Dy (0.000, 0.500, 0.099)
Sm (0.000, 0.000, 0.500)
Sm (0.500, 0.500, 0.500)
P (0.000, 0.500, 0.705)
P (0.500, 0.000, 0.295)

***

Here is a geometry-optimized GdSi2Pt structure from OQMD. Energies are from GGA-PBE.

Values from the calculation:
For the final energy, the calculation gives -6.024 eV/atom. As for the space group: Pmc2_1 (26). For the volume, the calculation gives 156.2 Å³/cell.

Unit cell a=4.315 b=4.589 c=7.891 alpha=90.00 beta=90.00 gamma=90.00
Element x y z (fractional)
Gd (0.000, 0.949, 0.195)
Gd (0.000, 0.051, 0.695)
Si (0.000, 0.496, 0.949)
Si (0.500, 0.777, 0.488)
Si (0.000, 0.504, 0.449)
Si (0.500, 0.223, 0.988)
Pt (0.500, 0.269, 0.368)
Pt (0.500, 0.731, 0.868)

***

Here is a geometry-optimized PaHgPd structure from OQMD. Energies are from GGA-PBE.

Values from the calculation:
As for the space group: F-43m (216). For the offset from the most stable computed form, the calculation gives 426 meV/atom. The calculation puts the formation energy at 0.269 eV/atom. For the volume, the calculation gives 79.6 Å³/cell.

Unit cell a=4.829 b=4.829 c=4.829 alpha=60.00 beta=60.00 gamma=60.00
Element x y z (fractional)
Pa (0.000, 0.000, 0.000)
Hg (0.250, 0.250, 0.250)
Pd (0.750, 0.750, 0.750)

***

Here is a geometry-optimized SmGdEr2Al2 structure from OQMD. Energies are from GGA-PBE.

Values from the calculation:
For the final energy, the calculation gives -4.602 eV/atom. As for the space group: P-6m2 (187). For the volume, the calculation gives 158.4 Å³/cell.

Unit cell a=5.245 b=5.245 c=6.651 alpha=90.00 beta=90.00 gamma=120.00
Element x y z (fractional)
Er (0.667, 0.333, 0.249)
Er (0.667, 0.333, 0.751)
Gd (0.333, 0.667, 0.000)
Al (0.000, 0.000, 0.000)
Al (0.333, 0.667, 0.500)
Sm (0.000, 0.000, 0.500)

***

Here is a geometry-optimized FeNiGeMo structure from OQMD. Energies are from GGA-PBE.

Values from the calculation:
As for the space group: F-43m (216). For the offset from the most stable computed form, the calculation gives 39 meV/atom. For the volume, the calculation gives 52.0 Å³/cell.

Unit cell a=4.191 b=4.191 c=4.191 alpha=60.00 beta=60.00 gamma=60.00
Element x y z (fractional)
Ge (0.000, 0.000, 0.000)
Ni (0.500, 0.500, 0.500)
Mo (0.250, 0.250, 0.250)
Fe (0.750, 0.750, 0.750)